*w*
A geometry-optimized TmThHg6 structure. Source: the Alexandria database, functional GGA-PBE.

The space group is Amm2 (No. 38) and the conventional cell measures 4.988, 6.754 and 11.683 Å, with angles of 90.00, 90.00 and 90.00 degrees. The asymmetric unit holds Tm at (0.000, 0.000, 0.000), Th at (0.500, 0.000, 0.668), Hg at (0.000, 0.000, 0.496), Hg at (0.000, 0.242, 0.253), Hg at (0.500, 0.000, 0.165) and Hg at (0.500, 0.248, 0.919).

As for the size of the total moment: 0.00 μB/atom. As for the crystal system: orthorhombic.

=====

*x*
A geometry-optimized TmThHg6 structure. Source: the Alexandria database, functional GGA-PBE.

The space group is P4/mmm (No. 123) and the conventional cell measures 4.811, 4.811 and 8.646 Å, with angles of 90.00, 90.00 and 90.00 degrees. The asymmetric unit holds Tm at (0.000, 0.000, 0.000), Th at (0.000, 0.000, 0.500), Hg at (0.000, 0.500, 0.241), Hg at (0.500, 0.500, 0.000) and Hg at (0.500, 0.500, 0.500).

As for the size of the total moment: 0.00 μB/atom. As for the crystal system: tetragonal.

=====

Which is the most stable structure? *w* is the most stable.

=====

*w*
A geometry-optimized TmTh2Hg structure. Source: the Alexandria database, functional GGA-PBE.

The space group is R-3m (No. 166, hexagonal axes) and the conventional cell measures 3.3970, 3.3970 and 36.3079 Å, with angles of 90.00, 90.00 and 120.00 degrees. The asymmetric unit holds Tm at (0.0000, 0.0000, 0.0000), Th at (0.0000, 0.0000, 0.0914) and Hg at (0.0000, 0.0000, 0.5000).

As for the size of the total moment: 0.00 μB/atom. As for the crystal system: trigonal.

=====

*x*
A geometry-optimized TmTh2Hg structure. Source: the Alexandria database, functional GGA-PBE.

The space group is P4/mmm (No. 123) and the conventional cell measures 4.782, 4.782 and 5.021 Å, with angles of 90.00, 90.00 and 90.00 degrees. The asymmetric unit holds Tm at (0.000, 0.000, 0.000), Th at (0.000, 0.500, 0.500) and Hg at (0.500, 0.500, 0.000).

As for the size of the total moment: 0.00 μB/atom. As for the crystal system: tetragonal.

=====

Which is the most stable structure? *x* is the most stable.

=====

*w*
A geometry-optimized YThHg structure. Source: the Alexandria database, functional GGA-PBE.

The space group is Cmcm (No. 63) and the conventional cell measures 3.588, 17.650 and 5.457 Å, with angles of 90.00, 90.00 and 90.00 degrees. The asymmetric unit holds Y at (0.000, 0.085, 0.250), Th at (0.000, 0.226, 0.750) and Hg at (0.000, 0.436, 0.250).

As for the size of the total moment: 0.00 μB/atom. As for the crystal system: orthorhombic.

=====

*x*
A geometry-optimized YThHg structure. Source: the Alexandria database, functional GGA-PBE.

The space group is I4mm (No. 107) and the conventional cell measures 3.622, 3.622 and 13.318 Å, with angles of 90.00, 90.00 and 90.00 degrees. The asymmetric unit holds Y at (0.000, 0.000, 0.000), Th at (0.000, 0.000, 0.688) and Hg at (0.000, 0.000, 0.358).

As for the size of the total moment: 0.00 μB/atom. As for the crystal system: tetragonal.

=====

*y*
A geometry-optimized YThHg structure. Source: the Alexandria database, functional GGA-PBE.

The space group is P3m1 (No. 156) and the conventional cell measures 5.2581, 5.2581 and 3.7023 Å, with angles of 90.00, 90.00 and 120.00 degrees. The asymmetric unit holds Y at (0.0000, 0.0000, 0.0000), Th at (0.3333, 0.6667, 0.5024) and Hg at (0.6667, 0.3333, 0.0098).

As for the size of the total moment: 0.00 μB/atom. As for the crystal system: trigonal.

=====

Which is the most stable structure? *w* is the most stable.

=====

*w*
A geometry-optimized YThHg4 structure. Source: the Alexandria database, functional GGA-PBE.

The space group is C2/m (No. 12) and the conventional cell measures 8.531, 8.668 and 5.019 Å, with angles of 90.00, 125.82 and 90.00 degrees. The asymmetric unit holds Y at (0.000, 0.000, 0.000), Th at (0.000, 0.500, 0.500) and Hg at (0.247, 0.333, 0.247).

As for the size of the total moment: 0.00 μB/atom. As for the crystal system: monoclinic.

=====

*x*
A geometry-optimized YThHg4 structure. Source: the Alexandria database, functional GGA-PBE.

The space group is F-43m (No. 216) and the conventional cell measures 8.468, 8.468 and 8.468 Å, with angles of 90.00, 90.00 and 90.00 degrees. The asymmetric unit holds Y at (0.000, 0.000, 0.000), Th at (0.250, 0.250, 0.250) and Hg at (0.125, 0.125, 0.625).

As for the size of the total moment: 0.15 μB/atom. As for the crystal system: cubic.

=====

Which is the most stable structure? *w* is the most stable.

=====

*w*
A geometry-optimized ThZn2Hg structure. Source: the Alexandria database, functional GGA-PBE.

The space group is R-3m (No. 166, hexagonal axes) and the conventional cell measures 4.6078, 4.6078 and 14.2024 Å, with angles of 90.00, 90.00 and 120.00 degrees. The asymmetric unit holds Th at (0.0000, 0.0000, 0.0000), Zn at (0.0000, 0.0000, 0.2258) and Hg at (0.0000, 0.0000, 0.5000).

As for the size of the total moment: 0.00 μB/atom. As for the crystal system: trigonal.

=====

*x*
A geometry-optimized ThZn2Hg structure. Source: the Alexandria database, functional GGA-PBE.

The space group is P4/mmm (No. 123) and the conventional cell measures 4.705, 4.705 and 4.129 Å, with angles of 90.00, 90.00 and 90.00 degrees. The asymmetric unit holds Th at (0.000, 0.000, 0.000), Zn at (0.000, 0.500, 0.500) and Hg at (0.500, 0.500, 0.000).

As for the size of the total moment: 0.00 μB/atom. As for the crystal system: tetragonal.

=====

*y*
A geometry-optimized ThZn2Hg structure. Source: the Alexandria database, functional GGA-PBE.

The space group is Cmcm (No. 63) and the conventional cell measures 3.745, 20.445 and 4.608 Å, with angles of 90.00, 90.00 and 90.00 degrees. The asymmetric unit holds Th at (0.000, 0.093, 0.250), Zn at (0.000, 0.264, 0.750), Zn at (0.000, 0.470, 0.250) and Hg at (0.000, 0.336, 0.250).

As for the size of the total moment: 0.00 μB/atom. As for the crystal system: orthorhombic.

=====

*z*
A geometry-optimized ThZn2Hg structure. Source: the Alexandria database, functional GGA-PBE.

The space group is Cmcm (No. 63) and the conventional cell measures 4.531, 16.712 and 9.297 Å, with angles of 90.00, 90.00 and 90.00 degrees. The asymmetric unit holds Th at (0.000, 0.000, 0.000), Th at (0.000, 0.205, 0.250), Zn at (0.000, 0.186, 0.615), Zn at (0.000, 0.405, 0.250), Zn at (0.000, 0.449, 0.750) and Hg at (0.000, 0.352, 0.524).

As for the size of the total moment: 0.00 μB/atom. As for the crystal system: orthorhombic.

=====

Which is the most stable structure? *z* is the most stable.

=====

*w*
A geometry-optimized Th2Zn3Hg structure. Source: the Alexandria database, functional GGA-PBE.

The space group is Fmmm (No. 69) and the conventional cell measures 7.147, 9.390 and 16.259 Å, with angles of 90.00, 90.00 and 90.00 degrees. The asymmetric unit holds Th at (0.247, 0.000, 0.000), Th at (0.250, 0.250, 0.250), Zn at (0.000, 0.000, 0.338), Zn at (0.000, 0.243, 0.419) and Hg at (0.000, 0.000, 0.167).

As for the size of the total moment: 0.00 μB/atom. As for the crystal system: orthorhombic.

=====

*x*
A geometry-optimized Th2Zn3Hg structure. Source: the Alexandria database, functional GGA-PBE.

The space group is Imm2 (No. 44) and the conventional cell measures 3.699, 4.724 and 15.918 Å, with angles of 90.00, 90.00 and 90.00 degrees. The asymmetric unit holds Th at (0.000, 0.000, 0.000), Th at (0.000, 0.500, 0.280), Zn at (0.000, 0.000, 0.437), Zn at (0.000, 0.500, 0.682), Zn at (0.000, 0.500, 0.839) and Hg at (0.000, 0.000, 0.604).

As for the size of the total moment: 0.00 μB/atom. As for the crystal system: orthorhombic.

=====

Which is the most stable structure? *w* is the most stable.